VASP calculation (SCAN) on TlInS2 at its PBEsol-relaxed geometry.

Cell lengths 6.5513, 6.5513, 6.5513 Å; angles 113.19, 113.19, 102.27 degrees
Positions (direct):
Tl  0.0000  0.0000  0.0000
Tl  0.7500  0.2500  0.5000
In  0.2500  0.7500  0.5000
In  0.5000  0.5000  0.0000
S  0.1914  0.6250  0.0664
S  0.3750  0.4414  0.5664
S  0.5586  0.1250  0.9336
S  0.8750  0.8086  0.4336

Summary:
electronic total energy = -254.734 eV for the cell shown
formation energy from raw total energies = -2.4 eV per formula unit
DOS at the Fermi energy = 0.0 states/eV/cell



VASP calculation (SCAN) on TlInS2 at its PBEsol-relaxed geometry.

Cell lengths 3.8225, 3.8225, 14.6292 Å; angles 90.00, 90.00, 120.00 degrees
Positions (direct):
Tl  0.3333  0.6667  0.2500
Tl  0.6667  0.3333  0.7500
In  0.0000  0.0000  0.0000
In  0.0000  0.0000  0.5000
S  0.3333  0.6667  0.5986
S  0.3333  0.6667  0.9014
S  0.6667  0.3333  0.0986
S  0.6667  0.3333  0.4014

Summary:
electronic total energy = -255.051 eV for the cell shown
formation energy from raw total energies = -2.5 eV per formula unit



VASP calculation (SCAN) on TlIn5S8 at its PBEsol-relaxed geometry.

Cell lengths 9.7304, 9.7304, 9.0923 Å; angles 102.56, 102.56, 22.73 degrees
Positions (direct):
Tl  0.0000  0.0000  0.0000
In  0.1126  0.1126  0.4297
In  0.1805  0.1805  0.8556
In  0.4662  0.4662  0.5207
In  0.7561  0.7561  0.1832
In  0.8226  0.8226  0.6152
S  0.0515  0.0515  0.6506
S  0.2313  0.2313  0.3709
S  0.3011  0.3011  0.0392
S  0.3981  0.3981  0.7434
S  0.5364  0.5364  0.3011
S  0.6307  0.6307  0.0000
S  0.7024  0.7024  0.6685
S  0.8820  0.8820  0.3937

Summary:
electronic total energy = -325.721 eV for the cell shown
formation energy from raw total energies = -9.4 eV per formula unit
DOS at the Fermi energy = 0.0 states/eV/cell



VASP calculation (SCAN) on V6InS8 at its PBEsol-relaxed geometry.

Cell lengths 9.0115, 9.0115, 3.1787 Å; angles 90.00, 90.00, 120.00 degrees
Positions (direct):
V  0.0396  0.8230  0.0000
V  0.1563  0.4501  0.5021
V  0.1770  0.2166  0.0000
V  0.2938  0.8437  0.5021
V  0.5499  0.7062  0.5021
V  0.7834  0.9604  0.0000
In  0.6667  0.3333  0.7441
S  0.0000  0.0000  0.5001
S  0.0110  0.6241  0.4982
S  0.3224  0.0427  0.0039
S  0.3333  0.6667  0.0019
S  0.3759  0.3869  0.4982
S  0.6131  0.9890  0.4982
S  0.7203  0.6776  0.0039
S  0.9573  0.2797  0.0039

Summary:
electronic total energy = -231.168 eV for the cell shown
formation energy from raw total energies = -15.8 eV per formula unit
DOS at the Fermi energy = 5.7 states/eV/cell



VASP calculation (SCAN) on V9InS12 at its PBEsol-relaxed geometry.

Cell lengths 9.5349, 9.5349, 9.5349 Å; angles 109.43, 109.43, 109.43 degrees
Positions (direct):
V  0.0480  0.1658  0.5373
V  0.1285  0.6194  0.5019
V  0.1658  0.5373  0.0480
V  0.1684  0.7967  0.2861
V  0.2033  0.7139  0.8316
V  0.2861  0.1684  0.7967
V  0.3806  0.4981  0.8715
V  0.4627  0.9520  0.8342
V  0.4981  0.8715  0.3806
V  0.5019  0.1285  0.6194
V  0.5373  0.0480  0.1658
V  0.6194  0.5019  0.1285
V  0.7139  0.8316  0.2033
V  0.7967  0.2861  0.1684
V  0.8316  0.2033  0.7139
V  0.8342  0.4627  0.9520
V  0.8715  0.3806  0.4981
V  0.9520  0.8342  0.4627
In  0.0000  0.0000  0.0000
In  0.5000  0.5000  0.5000
S  0.0046  0.9513  0.2961
S  0.0394  0.3297  0.3822
S  0.0487  0.7039  0.9954
S  0.0834  0.4164  0.7502
S  0.2498  0.9166  0.5836
S  0.2838  0.6285  0.3370
S  0.2961  0.0046  0.9513
S  0.3297  0.3822  0.0394
S  0.3370  0.2838  0.6285
S  0.3715  0.6630  0.7162
S  0.3822  0.0394  0.3297
S  0.4164  0.7502  0.0834
S  0.5836  0.2498  0.9166
S  0.6178  0.9606  0.6703
S  0.6285  0.3370  0.2838
S  0.6630  0.7162  0.3715
S  0.6703  0.6178  0.9606
S  0.7039  0.9954  0.0487
S  0.7162  0.3715  0.6630
S  0.7502  0.0834  0.4164
S  0.9166  0.5836  0.2498
S  0.9513  0.2961  0.0046
S  0.9606  0.6703  0.6178
S  0.9954  0.0487  0.7039

Summary:
electronic total energy = -660.228 eV for the cell shown
formation energy from raw total energies = -23.8 eV per formula unit
DOS at the Fermi energy = 16.7 states/eV/cell



VASP calculation (SCAN) on Zn2In2S5 at its PBEsol-relaxed geometry.

Cell lengths 3.8519, 3.8519, 30.1543 Å; angles 90.00, 90.00, 120.00 degrees
Positions (direct):
Zn  0.3333  0.6667  0.0000
Zn  0.3333  0.6667  0.2537
Zn  0.6667  0.3333  0.5000
Zn  0.6667  0.3333  0.7537
In  0.0000  0.0000  0.3764
In  0.0000  0.0000  0.8764
In  0.3333  0.6667  0.6431
In  0.6667  0.3333  0.1431
S  0.3333  0.6667  0.1084
S  0.3333  0.6667  0.3277
S  0.3333  0.6667  0.5215
S  0.3333  0.6667  0.7259
S  0.3333  0.6667  0.9196
S  0.6667  0.3333  0.0215
S  0.6667  0.3333  0.2259
S  0.6667  0.3333  0.4196
S  0.6667  0.3333  0.6084
S  0.6667  0.3333  0.8277

Summary:
electronic total energy = -296.935 eV for the cell shown
formation energy from raw total energies = -6.5 eV per formula unit
DOS at the Fermi energy = 0.0 states/eV/cell



VASP calculation (SCAN) on Zn2In2S5 at its PBEsol-relaxed geometry.

Cell lengths 15.2468, 15.2468, 15.2468 Å; angles 14.52, 14.52, 14.52 degrees
Positions (direct):
Zn  0.0000  0.0000  0.0000
Zn  0.1690  0.1690  0.1690
In  0.4071  0.4071  0.4071
In  0.5848  0.5848  0.5848
S  0.0969  0.0969  0.0969
S  0.2228  0.2228  0.2228
S  0.3519  0.3519  0.3519
S  0.4880  0.4880  0.4880
S  0.9507  0.9507  0.9507

Summary:
electronic total energy = -148.461 eV for the cell shown
formation energy from raw total energies = -6.5 eV per formula unit
DOS at the Fermi energy = 0.0 states/eV/cell



VASP calculation (SCAN) on ZrInS2 at its PBEsol-relaxed geometry.

Cell lengths 8.9717, 8.9717, 8.9717 Å; angles 22.55, 22.55, 22.55 degrees
Positions (direct):
Zr  0.0000  0.0000  0.0000
In  0.5000  0.5000  0.5000
S  0.3920  0.3920  0.3920
S  0.6080  0.6080  0.6080

Summary:
electronic total energy = -88.473 eV for the cell shown
formation energy from raw total energies = -5.1 eV per formula unit
DOS at the Fermi energy = 1.5 states/eV/cell



VASP calculation (SCAN) on InSb2 at its PBEsol-relaxed geometry.

Cell lengths 11.7050, 11.7050, 11.7050 Å; angles 161.17, 161.17, 26.76 degrees
Positions (direct):
In  0.3750  0.6250  0.7500
In  0.6250  0.3750  0.2500
Sb  0.0480  0.7980  0.2500
Sb  0.2020  0.9520  0.2500
Sb  0.7980  0.0480  0.7500
Sb  0.9520  0.2020  0.7500

Summary:
electronic total energy = -214.866 eV for the cell shown
formation energy from raw total energies = 0.5 eV per formula unit
DOS at the Fermi energy = 3.3 states/eV/cell



VASP calculation (SCAN) on InSb3 at its PBEsol-relaxed geometry.

Cell lengths 8.2730, 8.2730, 4.0638 Å; angles 90.00, 90.00, 116.76 degrees
Positions (direct):
In  0.0702  0.9298  0.7500
In  0.9298  0.0702  0.2500
Sb  0.1029  0.4552  0.2500
Sb  0.4180  0.5820  0.7500
Sb  0.4552  0.1029  0.7500
Sb  0.5448  0.8971  0.2500
Sb  0.5820  0.4180  0.2500
Sb  0.8971  0.5448  0.7500

Summary:
energy relative to the lowest polymorph listed for this composition = 88.3 meV per atom
electronic total energy = -289.623 eV for the cell shown
formation energy from raw total energies = 0.4 eV per formula unit
DOS at the Fermi energy = 3.2 states/eV/cell



VASP calculation (SCAN) on InSb at its PBEsol-relaxed geometry.

Cell lengths 5.2976, 5.2976, 5.2976 Å; angles 60.00, 60.00, 60.00 degrees
Positions (direct):
In  0.1250  0.1250  0.1250
In  0.8750  0.8750  0.8750
Sb  0.3750  0.3750  0.3750
Sb  0.6250  0.6250  0.6250

Summary:
electronic total energy = -140.701 eV for the cell shown
formation energy from raw total energies = 0.3 eV per formula unit
DOS at the Fermi energy = 2.6 states/eV/cell



VASP calculation (SCAN) on In3Sb at its PBEsol-relaxed geometry.

Cell lengths 5.4687, 5.4687, 6.3391 Å; angles 92.96, 92.96, 33.45 degrees
Positions (direct):
In  0.0000  0.0000  0.0000
In  0.2491  0.2491  0.7542
In  0.7509  0.7509  0.2458
Sb  0.5000  0.5000  0.5000

Summary:
electronic total energy = -137.065 eV for the cell shown
formation energy from raw total energies = 0.4 eV per formula unit
DOS at the Fermi energy = 1.9 states/eV/cell